[1]
VASP calculation (PBE-GGA) on crystalline BaInRh at its relaxed geometry.

Cell lengths 7.089, 7.089, 7.089 Å; angles 90.00, 90.00, 90.00 degrees
Space group F-43m (No. 216)
Symmetry-distinct sites (fractional):
Ba1 0.000 0.000 0.000
In1 0.000 0.000 0.500
Rh1 0.250 0.250 0.750

* E: -0.307 Ry per atom
* N(E_F): 5.69 states/eV per cell
* total magnetization: 0.0 μB/cell
* energy of formation: -0.17 eV/atom


[2]
VASP calculation (PBE-GGA) on crystalline PaZnGaRh at its relaxed geometry.

Cell lengths 6.634, 6.634, 6.634 Å; angles 90.00, 90.00, 90.00 degrees
Space group F-43m (No. 216)
Symmetry-distinct sites (fractional):
Pa1 0.000 0.000 0.000
Zn1 0.250 0.250 0.250
Ga1 0.000 0.000 0.500
Rh1 0.250 0.250 0.750

* E: -0.417 Ry per atom
* N(E_F): 12.25 states/eV per cell
* total magnetization: 0.0 μB/cell
* energy of formation: -0.39 eV/atom


[3]
VASP calculation (PBE-GGA) on crystalline Na6Cd23Ga at its relaxed geometry.

Cell lengths 14.163, 14.163, 14.163 Å; angles 90.00, 90.00, 90.00 degrees
Space group Fm-3m (No. 225)
Symmetry-distinct sites (fractional):
Na1 0.000 0.000 0.228
Cd1 0.000 0.000 0.500
Cd2 0.000 0.250 0.250
Cd3 0.125 0.125 0.375
Cd4 0.148 0.148 0.148
Ga1 0.000 0.000 0.000

* E: -0.082 Ry per atom
* N(E_F): 37.26 states/eV per cell
* total magnetization: 0.0 μB/cell
* energy of formation: -0.06 eV/atom


[4]
VASP calculation (PBE-GGA) on crystalline YTaCoOs at its relaxed geometry.

Cell lengths 6.504, 6.504, 6.504 Å; angles 90.00, 90.00, 90.00 degrees
Space group F-43m (No. 216)
Symmetry-distinct sites (fractional):
Y1 0.000 0.000 0.000
Ta1 0.000 0.000 0.500
Co1 0.250 0.250 0.750
Os1 0.250 0.250 0.250

* E: -0.680 Ry per atom
* N(E_F): 7.91 states/eV per cell
* total magnetization: 3.9 μB/cell
* energy of formation: -0.09 eV/atom


[5]
VASP calculation (PBE-GGA) on crystalline Mg2TaP at its relaxed geometry.

Cell lengths 3.961, 3.961, 8.503 Å; angles 90.00, 90.00, 90.00 degrees
Space group I-4m2 (No. 119)
Symmetry-distinct sites (fractional):
Mg1 0.000 0.000 0.000
Mg2 0.000 0.500 0.250
Ta1 0.000 0.000 0.500
P1 0.000 0.500 0.750

* E: -0.373 Ry per atom
* N(E_F): 2.01 states/eV per cell
* total magnetization: 0.0 μB/cell
* energy of formation: 0.04 eV/atom


[6]
VASP calculation (PBE-GGA) on crystalline LiMg2Co at its relaxed geometry.

Cell lengths 3.997, 3.997, 18.411 Å; angles 90.00, 90.00, 90.00 degrees
Space group I-42d (No. 122)
Symmetry-distinct sites (fractional):
Li1 0.000 0.000 0.000
Mg1 0.237 0.250 0.625
Co1 0.000 0.000 0.500

* E: -0.188 Ry per atom
* N(E_F): 7.36 states/eV per cell
* total magnetization: 3.9 μB/cell
* energy of formation: 0.49 eV/atom


[7]
VASP calculation (PBE-GGA) on crystalline SmTmSc3 at its relaxed geometry.

Cell lengths 5.938, 5.370, 9.102 Å; angles 90.00, 108.81, 90.00 degrees
Space group P2_1/m (No. 11)
Symmetry-distinct sites (fractional):
Sm1 0.141 0.250 0.105
Tm1 0.070 0.750 0.312
Sc1 0.269 0.750 0.699
Sc2 0.339 0.250 0.506
Sc3 0.474 0.750 0.103

* E: -0.412 Ry per atom
* N(E_F): 19.03 states/eV per cell
* energy above the lowest structure with this stoichiometry: 0.00 eV/f.u.
* total magnetization: 0.0 μB/cell
* energy of formation: 0.03 eV/atom


[8]
VASP calculation (PBE-GGA) on crystalline Ga2CoRu at its relaxed geometry.

Cell lengths 4.155, 4.155, 3.019 Å; angles 90.00, 90.00, 90.00 degrees
Space group P4/mmm (No. 123)
Symmetry-distinct sites (fractional):
Ga1 0.000 0.500 0.000
Co1 0.000 0.000 0.500
Ru1 0.500 0.500 0.500

* E: -0.434 Ry per atom
* N(E_F): 2.56 states/eV per cell
* energy above the lowest structure with this stoichiometry: 0.00 eV/f.u.
* total magnetization: 0.0 μB/cell
* energy of formation: -0.30 eV/atom


[9]
VASP calculation (PBE-GGA) on crystalline Pr8Cu2Pd at its relaxed geometry.

Cell lengths 18.466, 5.243, 6.979 Å; angles 90.00, 106.70, 90.00 degrees
Space group C2/m (No. 12)
Symmetry-distinct sites (fractional):
Pr1 0.029 0.000 0.287
Pr2 0.091 0.500 0.962
Pr3 0.171 0.500 0.496
Pr4 0.199 0.000 0.845
Cu1 0.178 0.000 0.240
Pd1 0.000 0.500 0.500

* E: -0.356 Ry per atom
* N(E_F): 22.47 states/eV per cell
* energy above the lowest structure with this stoichiometry: 0.00 eV/f.u.
* total magnetization: 0.0 μB/cell
* energy of formation: -0.15 eV/atom


[10]
VASP calculation (PBE-GGA) on crystalline AgBiPdO4 at its relaxed geometry.

Cell lengths 5.969, 6.667, 10.811 Å; angles 90.00, 90.00, 90.00 degrees
Space group Imma (No. 74)
Symmetry-distinct sites (fractional):
Ag1 0.000 0.250 0.177
Bi1 0.000 0.000 0.500
Pd1 0.250 0.250 0.750
O1 0.000 0.049 0.707
O2 0.238 0.250 0.478

* formation energy without anion corrections: -3.540 eV/f.u.
* E: -0.371 Ry per atom
* N(E_F): 11.44 states/eV per cell
* total magnetization: 0.0 μB/cell


[11]
VASP calculation (PBE-GGA) on crystalline ZnMo at its relaxed geometry.

Cell lengths 2.723, 4.367, 5.121 Å; angles 90.00, 97.23, 90.00 degrees
Space group P2_1/m (No. 11)
Symmetry-distinct sites (fractional):
Zn1 0.003 0.250 0.125
Mo1 0.406 0.250 0.626

* E: -0.440 Ry per atom
* N(E_F): 1.64 states/eV per cell
* energy above the lowest structure with this stoichiometry: 0.00 eV/f.u.
* total magnetization: 0.0 μB/cell
* energy of formation: 0.06 eV/atom


[12]
VASP calculation (PBE-GGA) on crystalline Pm6Ag2Pt at its relaxed geometry.

Cell lengths 6.434, 8.007, 12.215 Å; angles 90.00, 121.15, 90.00 degrees
Space group P2_1/c (No. 14)
Symmetry-distinct sites (fractional):
Pm1 0.087 0.203 0.442
Pm2 0.296 0.665 0.447
Pm3 0.386 0.041 0.243
Ag1 0.147 0.110 0.733
Pt1 0.500 0.000 0.500

* E: -0.351 Ry per atom
* N(E_F): 24.81 states/eV per cell
* total magnetization: 0.0 μB/cell
* energy of formation: -0.30 eV/atom


[13]
VASP calculation (PBE-GGA) on crystalline ScTi3Ru at its relaxed geometry.

Cell lengths 4.490, 4.490, 4.490 Å; angles 90.00, 90.00, 90.00 degrees
Space group Pm-3m (No. 221)
Symmetry-distinct sites (fractional):
Sc1 0.000 0.000 0.000
Ti1 0.000 0.000 0.500
Ru1 0.500 0.500 0.500

* E: -0.479 Ry per atom
* N(E_F): 7.10 states/eV per cell
* energy above the lowest structure with this stoichiometry: 5.47 eV/f.u.
* total magnetization: 0.0 μB/cell
* energy of formation: 1.34 eV/atom


[14]
VASP calculation (PBE-GGA) on crystalline MnIn2Ag at its relaxed geometry.

Cell lengths 3.237, 5.338, 9.363 Å; angles 90.00, 90.00, 90.00 degrees
Space group Cmmm (No. 65)
Symmetry-distinct sites (fractional):
Mn1 0.000 0.000 0.000
In1 0.000 0.500 0.243
Ag1 0.000 0.000 0.500

* E: -0.305 Ry per atom
* N(E_F): 4.13 states/eV per cell
* energy above the lowest structure with this stoichiometry: 0.32 eV/f.u.
* total magnetization: 7.0 μB/cell
* energy of formation: 0.22 eV/atom


[15]
VASP calculation (PBE-GGA) on crystalline CaTl2CuGe at its relaxed geometry.

Cell lengths 5.282, 5.282, 4.768 Å; angles 90.00, 90.00, 90.00 degrees
Space group P4/mmm (No. 123)
Symmetry-distinct sites (fractional):
Ca1 0.000 0.000 0.000
Tl1 0.000 0.500 0.500
Cu1 0.500 0.500 0.500
Ge1 0.500 0.500 0.000

* E: -0.224 Ry per atom
* N(E_F): 2.36 states/eV per cell
* total magnetization: 0.0 μB/cell
* energy of formation: 0.04 eV/atom


[16]
VASP calculation (PBE-GGA) on crystalline Rb2Tl6SbPd at its relaxed geometry.

Cell lengths 7.8267, 7.8267, 40.5737 Å; angles 90.00, 90.00, 120.00 degrees
Space group R-3m (No. 166, hexagonal axes)
Symmetry-distinct sites (fractional):
Rb1 0.0000 0.0000 0.1009
Rb2 0.0000 0.0000 0.2767
Tl1 0.0524 0.5262 0.8617
Tl2 0.0543 0.5271 0.3072
Sb1 0.0000 0.0000 0.4290
Pd1 0.0000 0.0000 0.0000
Pd2 0.0000 0.0000 0.5000

* formation energy without anion corrections: -0.752 eV/f.u.
* E: -0.193 Ry per atom
* N(E_F): 38.47 states/eV per cell
* total magnetization: 0.0 μB/cell


[17]
VASP calculation (PBE-GGA) on crystalline CaEr5Ru4 at its relaxed geometry.

Cell lengths 3.402, 3.402, 19.288 Å; angles 90.00, 90.00, 90.00 degrees
Space group P4/mmm (No. 123)
Symmetry-distinct sites (fractional):
Ca1 0.000 0.000 0.000
Er1 0.500 0.500 0.156
Er2 0.500 0.500 0.328
Er3 0.500 0.500 0.500
Ru1 0.000 0.000 0.234
Ru2 0.000 0.000 0.413

* E: -0.481 Ry per atom
* N(E_F): 5.61 states/eV per cell
* total magnetization: 0.0 μB/cell
* energy of formation: -0.35 eV/atom


[18]
VASP calculation (PBE-GGA) on crystalline Tl2SbIr at its relaxed geometry.

Cell lengths 6.803, 3.930, 8.387 Å; angles 90.00, 105.53, 90.00 degrees
Space group Cm (No. 8)
Symmetry-distinct sites (fractional):
Tl1 0.000 0.000 0.000
Tl2 0.234 0.000 0.698
Sb1 0.276 0.500 0.322
Ir1 0.494 0.000 0.477

* formation energy without anion corrections: 0.334 eV/f.u.
* E: -0.319 Ry per atom
* N(E_F): 3.86 states/eV per cell
* energy above the lowest structure with this stoichiometry: 0.00 eV/f.u.
* total magnetization: 0.0 μB/cell


[19]
VASP calculation (PBE-GGA) on crystalline Pm3Ga5Ge2 at its relaxed geometry.

Cell lengths 11.945, 12.335, 6.089 Å; angles 90.00, 90.00, 90.00 degrees
Space group Ibam (No. 72)
Symmetry-distinct sites (fractional):
Pm1 0.000 0.000 0.250
Pm2 0.231 0.378 0.000
Ga1 0.000 0.247 0.250
Ga2 0.000 0.500 0.250
Ga3 0.124 0.372 0.500
Ge1 0.167 0.130 0.000

* E: -0.313 Ry per atom
* N(E_F): 20.96 states/eV per cell
* total magnetization: 0.5 μB/cell
* energy of formation: -0.40 eV/atom


[20]
VASP calculation (PBE-GGA) on crystalline Pr2PuC2Br2 at its relaxed geometry.

Cell lengths 4.478, 4.478, 16.038 Å; angles 90.00, 90.00, 90.00 degrees
Space group I4/mmm (No. 139)
Symmetry-distinct sites (fractional):
Pr1 0.000 0.000 0.101
Pu1 0.000 0.000 0.500
C1 0.000 0.500 0.000
Br1 0.000 0.000 0.312

* formation energy without anion corrections: -4.732 eV/f.u.
* E: -0.529 Ry per atom
* N(E_F): 11.30 states/eV per cell
* total magnetization: 8.9 μB/cell


[21]
VASP calculation (PBE-GGA) on crystalline SeBr at its relaxed geometry.

Cell lengths 6.462, 6.462, 6.462 Å; angles 90.00, 90.00, 90.00 degrees
Space group P2_13 (No. 198)
Symmetry-distinct sites (fractional):
Se1 0.188 0.188 0.188
Br1 0.106 0.606 0.894

* formation energy without anion corrections: 0.836 eV/f.u.
* E: -0.159 Ry per atom
* N(E_F): 8.07 states/eV per cell
* total magnetization: 0.0 μB/cell


[22]
VASP calculation (PBE-GGA) on crystalline TlNiAs at its relaxed geometry.

Cell lengths 3.096, 3.096, 13.384 Å; angles 90.00, 90.00, 90.00 degrees
Space group I4mm (No. 107)
Symmetry-distinct sites (fractional):
Tl1 0.000 0.000 0.000
Ni1 0.000 0.000 0.673
As1 0.000 0.000 0.249

* E: -0.313 Ry per atom
* N(E_F): 1.13 states/eV per cell
* energy above the lowest structure with this stoichiometry: 0.56 eV/f.u.
* total magnetization: 0.0 μB/cell
* energy of formation: 0.01 eV/atom